Computed, not measured: a crystal of Nb2FePtO relaxed with PBEsol at the SCAN level of DFT.

Structure (POSCAR):
```
Nb2FePtO
1.0
-1.8493 3.1535 0.6065
-4.2131 -2.5645 0.4874
0.8344 -0.4463 4.8651
O Nb Fe Pt
1 2 1 1
Direct
0.5000 0.0000 0.0000
0.0000 0.0000 0.5000
0.0000 0.5000 0.0000
0.5000 0.5000 0.5000
0.0000 0.0000 0.0000
```

## Properties
space-group type	No. 123
V	91.0	Å³/cell
final energy	-155.926	eV/f.u.
E_form (uncorrected)	4.89	eV per formula unit
total magnetization	0.516	μB/atom